[1]
Material: Ba8In8O19
Method: DFT, PBE
State: optimized geometry

The structure in extended XYZ format:
```
35
Lattice="-0.878 -8.669 3.740 1.546 1.843 -9.172 8.518 -0.484 1.205" Properties=species:S:1:pos:R:3 pbc="T T T"
Ba 5.917 -7.625 2.683
Ba 1.491 -7.288 2.293
Ba 6.270 -5.188 0.019
Ba 6.948 -2.248 -3.592
Ba 2.168 -5.086 -0.685
Ba 7.637 -0.164 -6.481
Ba 2.842 -2.162 -4.277
Ba 3.247 0.333 -7.067
In 9.613 -3.010 -6.080
In 8.265 -5.511 -2.936
In 5.248 -5.710 -3.664
In 5.337 -2.765 -6.677
In 8.412 -8.220 0.319
In 4.137 -7.970 -0.285
In 4.053 -1.808 -0.711
In 0.336 -2.032 -1.591
O 7.468 -2.962 -6.322
O 3.914 -6.378 1.216
O 6.294 -8.055 -0.065
O 8.212 -6.427 1.574
O 9.376 -1.378 -4.628
O 7.839 -3.845 -1.660
O 8.237 -3.062 1.510
O 8.780 -0.706 -1.384
O 4.857 -3.921 -4.725
O 4.316 -6.265 -1.846
O 0.460 -6.464 -2.768
O 0.993 -4.155 -5.604
O 5.065 -0.894 -2.261
O 4.516 -3.276 0.665
O 2.361 -2.613 -1.685
O 1.694 -4.419 2.043
O 2.870 0.685 -4.227
O 5.168 -0.937 -5.467
O 4.117 -7.015 -4.938
```

## Properties
**Raw formation energy**: -2.00 eV/atom
**Calculated density**: 6.08 Mg/m³
**Calculated total energy**: -201.5 eV for the cell shown
**SG**: Cm, No. 8

[2]
Material: ScCu2Ge2
Method: DFT, PBE
State: optimized geometry

The structure in extended XYZ format:
```
10
Lattice="7.282 0.000 0.000 0.000 7.282 0.000 0.000 0.000 3.005" Properties=species:S:1:pos:R:3 pbc="T T T"
Sc 0.000 0.000 0.000
Sc 3.641 3.641 0.000
Ge 1.308 4.949 1.503
Ge 4.949 5.974 1.503
Ge 5.974 2.333 1.503
Ge 2.333 1.308 1.503
Cu 2.767 6.408 0.000
Cu 6.408 4.514 0.000
Cu 4.514 0.874 0.000
Cu 0.874 2.767 0.000
```

## Properties
**Calculated density**: 6.61 Mg/m³
**Calculated total energy**: -49.1 eV for the cell shown
**SG**: P4/mbm, No. 127
**Fermi-level density of states**: 4.079 states/eV per cell

[3]
Material: PuZr12Cd3
Method: DFT, PBE
State: optimized geometry

The structure in extended XYZ format:
```
16
Lattice="4.496 0.000 0.000 0.000 4.496 0.000 0.000 0.000 17.850" Properties=species:S:1:pos:R:3 pbc="T T T"
Pu 0.000 0.000 0.000
Zr 2.248 2.248 0.000
Zr 2.248 2.248 4.526
Zr 2.248 2.248 8.925
Zr 2.248 2.248 13.324
Zr 2.248 0.000 2.244
Zr 2.248 0.000 6.709
Zr 2.248 0.000 11.141
Zr 2.248 0.000 15.606
Zr 0.000 2.248 2.244
Zr 0.000 2.248 6.709
Zr 0.000 2.248 11.141
Zr 0.000 2.248 15.606
Cd 0.000 0.000 4.481
Cd 0.000 0.000 8.925
Cd 0.000 0.000 13.369
```

## Properties
**Calculated density**: 7.71 Mg/m³
**Calculated total energy**: -120.4 eV for the cell shown
**SG**: P4/mmm, No. 123
**Fermi-level density of states**: 15.993 states/eV per cell

[4]
Material: Dy9Y4Tm11
Method: DFT, PBE
State: optimized geometry

The structure in extended XYZ format:
```
24
Lattice="3.503 0.000 0.000 0.000 14.246 -3.143 0.000 2.708 14.335" Properties=species:S:1:pos:R:3 pbc="T T T"
Dy 1.752 9.228 -0.084
Dy 1.752 7.727 11.276
Dy 1.752 3.549 8.518
Dy 1.752 13.405 2.674
Dy 1.752 13.920 11.330
Dy 1.752 3.034 -0.138
Dy 1.752 15.889 8.348
Dy 1.752 1.065 2.844
Dy 1.752 8.477 5.596
Y 1.752 9.836 8.618
Y 1.752 7.119 2.574
Y 1.752 11.790 5.658
Y 1.752 5.164 5.534
Tm 0.000 10.845 11.389
Tm 0.000 6.109 -0.196
Tm 0.000 14.734 5.497
Tm 0.000 2.220 5.695
Tm 0.000 10.276 2.871
Tm 0.000 6.679 8.321
Tm 0.000 12.277 -0.160
Tm 0.000 4.677 11.353
Tm 0.000 0.000 0.000
Tm 0.000 12.882 8.504
Tm 0.000 4.073 2.689
```

## Properties
**Calculated density**: 8.19 Mg/m³
**Calculated total energy**: -115.0 eV for the cell shown
**SG**: Cmmm, No. 65
**Fermi-level density of states**: 35.988 states/eV per cell

[5]
Material: NaTlCd3
Method: DFT, PBE
State: optimized geometry

The structure in extended XYZ format:
```
5
Lattice="-1.947 3.559 -3.774 1.838 -3.296 -4.057 -4.851 -2.678 -0.022" Properties=species:S:1:pos:R:3 pbc="T T T"
Na 0.000 0.000 0.000
Tl -2.480 -1.207 -3.927
Cd 0.919 -1.648 -2.028
Cd -2.425 -1.339 -0.011
Cd -0.974 1.780 -1.887
```

## Properties
**Calculated density**: 5.51 Mg/m³
**Calculated total energy**: -4.5 eV for the cell shown
**Relative energy among the computed polymorphs**: 38.8 kJ/mol of atoms
**SG**: Pm-3m, No. 221
**Fermi-level density of states**: 3.632 states/eV per cell

[6]
Material: LiMnTc
Method: DFT, PBE
State: optimized geometry

The structure in extended XYZ format:
```
3
Lattice="-1.139 0.198 -3.980 2.631 -2.945 1.258 -1.912 -1.506 0.472" Properties=species:S:1:pos:R:3 pbc="T T T"
Li -0.024 -0.019 0.006
Mn -0.581 -1.400 -2.061
Tc 0.185 -2.834 -0.194
```

## Properties
**Calculated density**: 7.20 Mg/m³
**Calculated total energy**: -20.8 eV for the cell shown
**Relative energy among the computed polymorphs**: 0.0 kJ/mol of atoms
**SG**: P3m1, No. 156
**Fermi-level density of states**: 2.237 states/eV per cell

[7]
Material: SrSc2Ir
Method: DFT, PBE
State: optimized geometry

The structure in extended XYZ format:
```
8
Lattice="6.250 0.000 0.000 0.000 6.250 0.000 3.125 3.125 7.739" Properties=species:S:1:pos:R:3 pbc="T T T"
Sc 6.251 1.562 1.935
Sc 6.249 4.687 1.935
Sc 4.687 3.124 5.805
Sc 7.812 3.126 5.805
Sr 3.125 3.125 0.000
Sr 3.125 6.250 3.870
Ir 0.000 0.000 0.000
Ir 6.250 3.125 3.870
```

## Properties
**Calculated density**: 4.06 Mg/m³
**Calculated total energy**: -43.9 eV for the cell shown
**Relative energy among the computed polymorphs**: 65.8 kJ/mol of atoms
**SG**: I4_1/amd, No. 141
**Fermi-level density of states**: 14.039 states/eV per cell

[8]
Material: Cd3W
Method: DFT, PBE
State: optimized geometry

The structure in extended XYZ format:
```
4
Lattice="5.300 -0.001 0.003 4.509 2.786 0.003 -10.811 -3.069 5.283" Properties=species:S:1:pos:R:3 pbc="T T T"
W -2.703 -0.767 1.321
Cd 0.010 0.003 0.078
Cd 4.394 1.247 2.570
Cd -8.108 -2.302 3.963
```

## Properties
**Calculated density**: 11.07 Mg/m³
**Calculated total energy**: -13.4 eV for the cell shown
**Relative energy among the computed polymorphs**: 17.2 kJ/mol of atoms
**SG**: C2/m, No. 12
**Fermi-level density of states**: 2.225 states/eV per cell

[9]
Material: SmCdGe
Method: DFT, PBE
State: optimized geometry

The structure in extended XYZ format:
```
6
Lattice="3.977 0.000 0.000 0.000 4.571 0.000 -1.989 0.000 9.007" Properties=species:S:1:pos:R:3 pbc="T T T"
Sm 1.989 3.429 3.127
Sm 0.000 1.143 5.880
Cd 1.989 1.143 0.809
Cd 0.000 3.429 8.197
Ge 1.989 3.429 6.131
Ge 0.000 1.143 2.876
```

## Properties
**Calculated density**: 6.80 Mg/m³
**Calculated total energy**: -22.9 eV for the cell shown
**SG**: Cmcm, No. 63
**Fermi-level density of states**: 4.272 states/eV per cell

[10]
Material: LiBiP2O7
Method: DFT, PBE
State: optimized geometry

The structure in extended XYZ format:
```
11
Lattice="-0.977 -2.141 -5.116 3.530 -3.566 2.555 -3.285 -3.037 1.366" Properties=species:S:1:pos:R:3 pbc="T T T"
Li -1.343 -4.063 -2.260
Bi 1.471 -4.953 2.528
P 2.018 -4.506 -0.939
P -1.826 -4.531 1.315
O 0.056 -7.470 -0.358
O 2.123 -5.435 0.276
O 0.799 -4.812 -1.828
O -1.926 -3.808 -0.041
O 0.117 -1.561 0.704
O 1.857 -3.037 -0.293
O -0.697 -3.992 2.201
```

## Properties
**Raw formation energy**: -2.05 eV/atom
**Calculated density**: 4.62 Mg/m³
**Calculated total energy**: -73.9 eV for the cell shown
**Relative energy among the computed polymorphs**: 3.5 kJ/mol of atoms
**SG**: C2, No. 5
**Fermi-level density of states**: 0.000 states/eV per cell

[11]
Material: ZrPaTa2
Method: DFT, PBE
State: optimized geometry

The structure in extended XYZ format:
```
4
Lattice="-0.418 3.548 3.379 -4.367 2.103 0.830 -2.393 -0.879 4.205" Properties=species:S:1:pos:R:3 pbc="T T T"
Pa 0.000 0.000 0.000
Zr -3.589 2.386 4.207
Ta -1.794 1.193 2.103
Ta -5.383 3.579 6.310
```

## Properties
**Calculated density**: 13.51 Mg/m³
**Calculated total energy**: -41.1 eV for the cell shown
**Relative energy among the computed polymorphs**: 0.0 kJ/mol of atoms
**SG**: Fm-3m, No. 225
**Fermi-level density of states**: 5.258 states/eV per cell